[1]
# SrTaAg

Crystalline SrTaAg at its relaxed geometry (GGA-PBE, the Alexandria database).

```
6
Lattice="6.271 0.034 -0.007 2.252 7.599 -0.006 0.919 -0.272 3.250" Properties=species:S:1:pos:R:3 pbc="T T T"
Sr 7.463 6.967 1.975
Sr 6.196 3.196 2.016
Ag 3.073 4.193 2.986
Ag 4.316 5.936 1.011
Ta 3.029 2.032 1.052
Ta 2.107 0.497 2.951
```

The offset from the most stable computed form comes out at 0.211 eV per atom. The calculation puts the density of states at the Fermi level at 3.3 states/eV/f.u. The energy of formation from the pure elements is 0.441 eV per atom. Its magnetic moment is 0.0 μB per cell.

[2]
# DyCd2Pd6

Crystalline DyCd2Pd6 at its relaxed geometry (GGA-PBE, the Alexandria database).

```
9
Lattice="-2.874 3.610 0.854 0.759 -1.228 7.745 4.556 1.534 -4.210" Properties=species:S:1:pos:R:3 pbc="T T T"
Dy 0.000 0.000 0.000
Cd 0.054 2.053 4.327
Cd 2.388 1.863 0.061
Pd 1.454 0.572 2.413
Pd 0.695 3.816 -1.005
Pd 0.987 3.344 1.976
Pd -1.288 1.564 1.949
Pd 1.747 0.099 5.393
Pd -0.827 0.818 6.650
```

The calculation puts the density of states at the Fermi level at 2.8 states/eV/f.u. The energy of formation from the pure elements is -0.387 eV per atom. Its magnetic moment is 0.0 μB per cell.

[3]
# Ta2ZnCrH

Crystalline Ta2ZnCrH at its relaxed geometry (GGA-PBE, the Alexandria database).

```
5
Lattice="4.213 0.000 0.000 0.000 4.213 0.000 0.000 0.000 3.616" Properties=species:S:1:pos:R:3 pbc="T T T"
Cr 0.000 0.000 1.808
Zn 2.106 2.106 1.808
H 0.000 0.000 0.000
Ta 0.000 2.106 0.000
Ta 2.106 0.000 0.000
```

The calculation puts the density of states at the Fermi level at 3.9 states/eV/f.u. Its electronic total energy is -0.277 hartree per atom. Its magnetic moment is 0.4 μB per cell.

[4]
# ZnBPd2Pt

Crystalline ZnBPd2Pt at its relaxed geometry (GGA-PBE, the Alexandria database).

```
5
Lattice="-3.955 -0.282 -1.321 -0.488 -3.514 2.209 -1.246 2.220 3.257" Properties=species:S:1:pos:R:3 pbc="T T T"
Zn -2.844 -0.788 2.072
B 0.000 0.000 0.000
Pd -0.244 -1.757 1.105
Pd -1.978 -0.141 -0.661
Pt -0.623 1.110 1.628
```

The calculation puts the density of states at the Fermi level at 2.1 states/eV/f.u. The energy of formation from the pure elements is -0.270 eV per atom. Its magnetic moment is 0.0 μB per cell.

[5]
# K3YPu3Se8

Crystalline K3YPu3Se8 at its relaxed geometry (GGA-PBE, the Alexandria database).

```
15
Lattice="10.242 0.000 0.000 -5.121 4.898 -1.495 0.000 -7.456 10.656" Properties=species:S:1:pos:R:3 pbc="T T T"
K 0.000 0.000 0.000
K -2.560 2.449 -0.747
K 2.561 2.449 -0.747
Y 0.000 -3.728 5.328
Pu 5.121 -3.728 5.328
Pu 2.561 -1.279 4.580
Pu -2.560 -1.279 4.580
Se 5.121 -1.771 3.023
Se 0.000 -0.786 6.138
Se 0.000 -1.739 3.014
Se 5.121 -0.818 6.147
Se 2.544 0.694 2.271
Se 2.577 -3.251 6.890
Se -2.544 0.694 2.271
Se 7.665 -3.251 6.890
```

The calculation puts the density of states at the Fermi level at 23.2 states/eV/f.u. The calculation puts the uncorrected formation energy at -20.0 eV per formula unit. Its magnetic moment is 14.0 μB per cell.

[6]
# Li2Si4NiPt3

Crystalline Li2Si4NiPt3 at its relaxed geometry (GGA-PBE, the Alexandria database).

```
10
Lattice="3.879 0.000 0.000 0.000 3.879 0.000 0.000 0.000 10.473" Properties=species:S:1:pos:R:3 pbc="T T T"
Li 1.939 0.000 2.802
Li 0.000 1.939 7.672
Si 1.939 1.939 0.000
Si 0.000 0.000 0.000
Si 1.939 0.000 6.633
Si 0.000 1.939 3.840
Ni 1.939 1.939 5.237
Pt 0.000 0.000 5.237
Pt 1.939 0.000 9.020
Pt 0.000 1.939 1.453
```

The calculation puts the density of states at the Fermi level at 3.8 states/eV/f.u. The calculation puts the uncorrected formation energy at -6.1 eV per formula unit. Its magnetic moment is 0.0 μB per cell.

[7]
# CsBeVCl6

Crystalline CsBeVCl6 at its relaxed geometry (GGA-PBE, the Alexandria database).

```
9
Lattice="6.144 0.000 0.000 3.072 5.321 0.000 0.000 0.000 7.870" Properties=species:S:1:pos:R:3 pbc="T T T"
Cs 6.144 0.000 7.869
Be 3.072 1.773 3.935
V 6.144 3.547 3.935
Cl 1.204 1.965 2.610
Cl 2.304 0.060 5.259
Cl 4.940 1.965 5.259
Cl 1.972 3.295 5.259
Cl 4.172 3.295 2.610
Cl 3.840 0.060 2.610
```

The calculation puts the density of states at the Fermi level at 8.3 states/eV/f.u. The calculation puts the uncorrected formation energy at -12.3 eV per formula unit. Its magnetic moment is 2.0 μB per cell.

[8]
# FeOsSe2

Crystalline FeOsSe2 at its relaxed geometry (GGA-PBE, the Alexandria database).

```
4
Lattice="-0.591 -3.765 -0.658 4.216 -0.731 0.401 0.468 -0.830 4.332" Properties=species:S:1:pos:R:3 pbc="T T T"
Fe 0.876 -2.273 0.855
Os 3.217 -3.054 3.221
Se 4.543 -1.528 4.672
Se 2.483 -0.814 2.429
```

The offset from the most stable computed form comes out at 0.666 eV per atom. The calculation puts the density of states at the Fermi level at 3.1 states/eV/f.u. The calculation puts the uncorrected formation energy at 2.6 eV per formula unit. Its magnetic moment is 4.1 μB per cell.

[9]
# Th3TcGe

Crystalline Th3TcGe at its relaxed geometry (GGA-PBE, the Alexandria database).

```
10
Lattice="-0.707 -4.413 0.200 5.405 -3.143 -0.218 1.938 0.145 10.059" Properties=species:S:1:pos:R:3 pbc="T T T"
Th 5.744 -3.809 5.792
Th 2.208 -3.330 3.859
Th 2.562 -3.198 8.036
Th 4.160 -3.821 -0.090
Th 4.170 -5.946 3.090
Th 2.198 -1.205 0.679
Tc 0.152 -3.136 0.872
Tc 0.811 -0.872 3.114
Ge 2.910 -5.612 6.026
Ge 4.690 -5.807 8.002
```

The offset from the most stable computed form comes out at 0.000 eV per atom. The calculation puts the density of states at the Fermi level at 3.7 states/eV/f.u. The energy of formation from the pure elements is -0.343 eV per atom. Its magnetic moment is 0.0 μB per cell.

[10]
# TlGaAgO2

Crystalline TlGaAgO2 at its relaxed geometry (GGA-PBE, the Alexandria database).

```
5
Lattice="4.282 0.000 0.000 0.000 4.962 0.000 0.000 0.000 4.282" Properties=species:S:1:pos:R:3 pbc="T T T"
O 0.000 0.000 2.141
O 2.141 0.000 0.000
Tl 2.141 2.481 2.141
Ga 0.000 2.481 0.000
Ag 0.000 0.000 0.000
```

The calculation puts the density of states at the Fermi level at 3.7 states/eV/f.u. The calculation puts the uncorrected formation energy at 1.0 eV per formula unit. Its magnetic moment is 0.0 μB per cell.

[11]
# KCr2AsOs

Crystalline KCr2AsOs at its relaxed geometry (GGA-PBE, the Alexandria database).

```
5
Lattice="-4.487 -1.461 0.317 1.725 -5.432 -0.608 0.456 -0.381 4.692" Properties=species:S:1:pos:R:3 pbc="T T T"
Cr 0.228 -0.190 2.346
Cr -2.244 -0.730 0.159
As -1.153 -3.637 2.201
Os 0.000 0.000 0.000
K 0.863 -2.716 -0.304
```

The calculation puts the density of states at the Fermi level at 4.4 states/eV/f.u. The energy of formation from the pure elements is 1.383 eV per atom. Its magnetic moment is 5.5 μB per cell.

[12]
# BeNi2Pb

Crystalline BeNi2Pb at its relaxed geometry (GGA-PBE, the Alexandria database).

```
4
Lattice="2.951 0.000 0.000 0.000 2.948 0.000 0.000 0.000 6.409" Properties=species:S:1:pos:R:3 pbc="T T T"
Pb 1.476 1.474 1.602
Ni 0.000 0.000 5.993
Ni 0.000 0.000 3.622
Be 1.476 1.474 4.807
```

The offset from the most stable computed form comes out at 0.102 eV per atom. The calculation puts the density of states at the Fermi level at 3.2 states/eV/f.u. The energy of formation from the pure elements is 0.159 eV per atom. Its magnetic moment is 0.0 μB per cell.